(1)
VASP calculation (PBE) on a relaxed structure of Ce2TiNi3As4.

a b c (Å): 4.225 4.225 9.845
angles (deg): 90.00 90.00 90.00
Space group P-4m2 (No. 115)
Symmetry-distinct sites (fractional):
Ce 0.000 0.500 0.234 [2 per cell]
Ti 0.000 0.000 0.500 [1 per cell]
Ni 0.000 0.500 0.887 [2 per cell]
Ni 0.500 0.500 0.500 [1 per cell]
As 0.000 0.000 0.000 [1 per cell]
As 0.000 0.500 0.645 [2 per cell]
As 0.500 0.500 0.000 [1 per cell]

Properties
E_form (eV/atom): -0.83
Electronic total energy (eV/atom): -6.401

(2)
VASP calculation (PBE) on a relaxed structure of LuBeAu3.

a b c (Å): 4.525 4.525 4.525
angles (deg): 90.00 90.00 90.00
Space group Pm-3m (No. 221)
Symmetry-distinct sites (fractional):
Lu 0.000 0.000 0.000 [1 per cell]
Be 0.500 0.500 0.500 [1 per cell]
Au 0.000 0.500 0.500 [3 per cell]

Properties
E_form (eV/atom): -0.40
Electronic total energy (eV/atom): -4.018

no.,DOS at the Fermi energy (states/eV/atom)
1,1.295
2,0.384